(1)
Density functional theory data (GGA-PBE) for an optimized crystal structure of HoIn2Ge.

```
data_HoIn2Ge
_symmetry_space_group_name_H-M 'R -3 m'
_symmetry_Int_Tables_number 166
_symmetry_space_group_name_Hall '-R 3 2"'
_cell_length_a 3.4225
_cell_length_b 3.4225
_cell_length_c 32.4861
_cell_angle_alpha 90.00
_cell_angle_beta 90.00
_cell_angle_gamma 120.00
loop_
_atom_site_label
_atom_site_fract_x
_atom_site_fract_y
_atom_site_fract_z
Ho1 0.0000 0.0000 0.0000
In1 0.0000 0.0000 0.0966
Ge1 0.0000 0.0000 0.5000
```

Energy of formation in eV per atom: 0.190
Relative energy among the computed polymorphs in meV per atom: 581.3



(2)
Density functional theory data (GGA-PBE) for an optimized crystal structure of RbZnSn2.

```
data_RbZnSn2
_symmetry_space_group_name_H-M 'C m m m'
_symmetry_Int_Tables_number 65
_symmetry_space_group_name_Hall '-C 2 2'
_cell_length_a 6.448
_cell_length_b 10.929
_cell_length_c 3.548
_cell_angle_alpha 90.00
_cell_angle_beta 90.00
_cell_angle_gamma 90.00
loop_
_atom_site_label
_atom_site_fract_x
_atom_site_fract_y
_atom_site_fract_z
Rb1 0.000 0.000 0.000
Zn1 0.000 0.500 0.000
Sn1 0.000 0.303 0.500
```

Energy of formation in eV per atom: 0.039



(3)
Density functional theory data (GGA-PBE) for an optimized crystal structure of Ac8CuIr5.

```
data_Ac8CuIr5
_symmetry_space_group_name_H-M 'I -4'
_symmetry_Int_Tables_number 82
_cell_length_a 9.407
_cell_length_b 9.407
_cell_length_c 9.302
_cell_angle_alpha 90.00
_cell_angle_beta 90.00
_cell_angle_gamma 90.00
loop_
_symmetry_equiv_pos_as_xyz
'x,y,z'
'y,-x,-z'
'-x,-y,z'
'-y,x,-z'
'x+1/2,y+1/2,z+1/2'
'y+1/2,-x+1/2,-z+1/2'
'-x+1/2,-y+1/2,z+1/2'
'-y+1/2,x+1/2,-z+1/2'
loop_
_atom_site_label
_atom_site_fract_x
_atom_site_fract_y
_atom_site_fract_z
Ac1 0.059 0.304 0.429
Ac2 0.062 0.185 0.819
Cu1 0.000 0.500 0.750
Ir1 0.000 0.000 0.500
Ir2 0.136 0.247 0.123
```

Energy of formation in eV per atom: -0.541



(4)
Density functional theory data (GGA-PBE) for an optimized crystal structure of NbCu3Pd7.

```
data_NbCu3Pd7
_symmetry_space_group_name_H-M 'C 1 2/m 1'
_symmetry_Int_Tables_number 12
_cell_length_a 8.820
_cell_length_b 9.140
_cell_length_c 4.922
_cell_angle_alpha 90.00
_cell_angle_beta 116.72
_cell_angle_gamma 90.00
loop_
_symmetry_equiv_pos_as_xyz
'x,y,z'
'-x,-y,-z'
'-x,y,-z'
'x,-y,z'
'x+1/2,y+1/2,z'
'-x+1/2,-y+1/2,-z'
'-x+1/2,y+1/2,-z'
'x+1/2,-y+1/2,z'
loop_
_atom_site_label
_atom_site_fract_x
_atom_site_fract_y
_atom_site_fract_z
Nb1 0.000 0.000 0.000
Cu1 0.000 0.273 0.500
Cu2 0.000 0.500 0.000
Pd1 0.000 0.000 0.500
Pd2 0.171 0.262 0.176
Pd3 0.184 0.500 0.578
```

Energy of formation in eV per atom: 0.081



(5)
Density functional theory data (GGA-PBE) for an optimized crystal structure of KScSF2.

```
data_KScSF2
_symmetry_space_group_name_H-M 'P 4/m m m'
_symmetry_Int_Tables_number 123
_symmetry_space_group_name_Hall '-P 4 2'
_cell_length_a 4.286
_cell_length_b 4.286
_cell_length_c 5.015
_cell_angle_alpha 90.00
_cell_angle_beta 90.00
_cell_angle_gamma 90.00
loop_
_atom_site_label
_atom_site_fract_x
_atom_site_fract_y
_atom_site_fract_z
K1 0.000 0.000 0.000
Sc1 0.500 0.500 0.500
S1 0.500 0.500 0.000
F1 0.000 0.500 0.500
```

ΔE_f (raw) in eV per atom: -2.793
Relative energy among the computed polymorphs in meV per atom: 0.0



(6)
Density functional theory data (GGA-PBE) for an optimized crystal structure of NdGa3Cu.

```
data_NdGa3Cu
_symmetry_space_group_name_H-M 'C 1 m 1'
_symmetry_Int_Tables_number 8
_cell_length_a 5.984
_cell_length_b 5.995
_cell_length_c 6.049
_cell_angle_alpha 90.00
_cell_angle_beta 119.55
_cell_angle_gamma 90.00
loop_
_symmetry_equiv_pos_as_xyz
'x,y,z'
'x,-y,z'
'x+1/2,y+1/2,z'
'x+1/2,-y+1/2,z'
loop_
_atom_site_label
_atom_site_fract_x
_atom_site_fract_y
_atom_site_fract_z
Nd1 0.000 0.000 0.000
Ga1 0.092 0.500 0.186
Ga2 0.499 0.251 0.499
Cu1 0.367 0.000 0.734
```

Energy of formation in eV per atom: -0.530
Relative energy among the computed polymorphs in meV per atom: 0.0



(7)
Density functional theory data (GGA-PBE) for an optimized crystal structure of SnSeCl2.

```
data_SnSeCl2
_symmetry_space_group_name_H-M 'R -3 m'
_symmetry_Int_Tables_number 166
_symmetry_space_group_name_Hall '-R 3 2"'
_cell_length_a 3.3457
_cell_length_b 3.3457
_cell_length_c 29.8005
_cell_angle_alpha 90.00
_cell_angle_beta 90.00
_cell_angle_gamma 120.00
loop_
_atom_site_label
_atom_site_fract_x
_atom_site_fract_y
_atom_site_fract_z
Sn1 0.0000 0.0000 0.0000
Se1 0.0000 0.0000 0.5000
Cl1 0.0000 0.0000 0.0858
```

ΔE_f (raw) in eV per atom: 0.110
Relative energy among the computed polymorphs in meV per atom: 386.1



(8)
Density functional theory data (GGA-PBE) for an optimized crystal structure of Tb2CeDy4Ho.

```
data_Tb2CeDy4Ho
_symmetry_space_group_name_H-M 'P 1 2/m 1'
_symmetry_Int_Tables_number 10
_cell_length_a 6.129
_cell_length_b 3.539
_cell_length_c 11.741
_cell_angle_alpha 90.00
_cell_angle_beta 100.06
_cell_angle_gamma 90.00
loop_
_symmetry_equiv_pos_as_xyz
'x,y,z'
'-x,-y,-z'
'-x,y,-z'
'x,-y,z'
loop_
_atom_site_label
_atom_site_fract_x
_atom_site_fract_y
_atom_site_fract_z
Tb1 0.000 0.000 0.000
Tb2 0.000 0.500 0.500
Ce1 0.500 0.000 0.500
Dy1 0.253 0.000 0.750
Dy2 0.254 0.500 0.251
Ho1 0.500 0.500 0.000
```

Energy of formation in eV per atom: 0.040



(9)
Density functional theory data (GGA-PBE) for an optimized crystal structure of Tl2CuAsF.

```
data_Tl2CuAsF
_symmetry_space_group_name_H-M 'P 4/m m m'
_symmetry_Int_Tables_number 123
_symmetry_space_group_name_Hall '-P 4 2'
_cell_length_a 5.294
_cell_length_b 5.294
_cell_length_c 4.291
_cell_angle_alpha 90.00
_cell_angle_beta 90.00
_cell_angle_gamma 90.00
loop_
_atom_site_label
_atom_site_fract_x
_atom_site_fract_y
_atom_site_fract_z
Tl1 0.000 0.500 0.000
Cu1 0.000 0.000 0.500
As1 0.500 0.500 0.500
F1 0.500 0.500 0.000
```

ΔE_f (raw) in eV per atom: -0.002



(10)
Density functional theory data (GGA-PBE) for an optimized crystal structure of RbReP2.

```
data_RbReP2
_symmetry_space_group_name_H-M 'I 41/a m d'
_symmetry_Int_Tables_number 141
_cell_length_a 6.650
_cell_length_b 6.650
_cell_length_c 11.663
_cell_angle_alpha 90.00
_cell_angle_beta 90.00
_cell_angle_gamma 90.00
loop_
_symmetry_equiv_pos_as_xyz
'x,y,z'
'-x,-y,-z'
'-y+1/4,x+3/4,z+1/4'
'y+1/4,-x+3/4,-z+1/4'
'-x+1/2,-y,z+1/2'
'x+1/2,y,-z+1/2'
'y+1/4,-x+1/4,z+3/4'
'-y+1/4,x+1/4,-z+3/4'
'x,-y,-z'
'-x,y,z'
'-y+1/4,-x+1/4,-z+3/4'
'y+1/4,x+1/4,z+3/4'
'-x+1/2,y,-z+1/2'
'x+1/2,-y,z+1/2'
'y+1/4,x+3/4,-z+1/4'
'-y+1/4,-x+3/4,z+1/4'
'x+1/2,y+1/2,z+1/2'
'-x+1/2,-y+1/2,-z+1/2'
'-y+3/4,x+1/4,z+3/4'
'y+3/4,-x+1/4,-z+3/4'
'-x,-y+1/2,z'
'x,y+1/2,-z'
'y+3/4,-x+3/4,z+1/4'
'-y+3/4,x+3/4,-z+1/4'
'x+1/2,-y+1/2,-z+1/2'
'-x+1/2,y+1/2,z+1/2'
'-y+3/4,-x+3/4,-z+1/4'
'y+3/4,x+3/4,z+1/4'
'-x,y+1/2,-z'
'x,-y+1/2,z'
'y+3/4,x+1/4,-z+3/4'
'-y+3/4,-x+1/4,z+3/4'
loop_
_atom_site_label
_atom_site_fract_x
_atom_site_fract_y
_atom_site_fract_z
Rb1 0.000 0.250 0.375
Re1 0.000 0.250 0.875
P1 0.000 0.000 0.000
```

Energy of formation in eV per atom: -0.195
Relative energy among the computed polymorphs in meV per atom: 0.0



(11)
Density functional theory data (GGA-PBE) for an optimized crystal structure of ErTh2Se4.

```
data_ErTh2Se4
_symmetry_space_group_name_H-M 'C m c m'
_symmetry_Int_Tables_number 63
_symmetry_space_group_name_Hall '-C 2c 2'
_cell_length_a 3.927
_cell_length_b 13.515
_cell_length_c 14.522
_cell_angle_alpha 90.00
_cell_angle_beta 90.00
_cell_angle_gamma 90.00
loop_
_atom_site_label
_atom_site_fract_x
_atom_site_fract_y
_atom_site_fract_z
Er1 0.000 0.114 0.250
Th1 0.000 0.355 0.066
Se1 0.000 0.000 0.000
Se2 0.000 0.294 0.633
Se3 0.000 0.458 0.250
```

ΔE_f (raw) in eV per atom: -1.604



(12)
Density functional theory data (GGA-PBE) for an optimized crystal structure of Li2ReOsF.

```
data_Li2ReOsF
_symmetry_space_group_name_H-M 'P 4/m m m'
_symmetry_Int_Tables_number 123
_symmetry_space_group_name_Hall '-P 4 2'
_cell_length_a 5.254
_cell_length_b 5.254
_cell_length_c 4.547
_cell_angle_alpha 90.00
_cell_angle_beta 90.00
_cell_angle_gamma 90.00
loop_
_atom_site_label
_atom_site_fract_x
_atom_site_fract_y
_atom_site_fract_z
Li1 0.000 0.500 0.000
Re1 0.000 0.000 0.000
Os1 0.000 0.000 0.500
F1 0.500 0.500 0.500
```

ΔE_f (raw) in eV per atom: 1.142
Relative energy among the computed polymorphs in meV per atom: 1444.5



What did the eleventh record say?
Density functional theory data (GGA-PBE) for an optimized crystal structure of ErTh2Se4.

```
data_ErTh2Se4
_symmetry_space_group_name_H-M 'C m c m'
_symmetry_Int_Tables_number 63
_symmetry_space_group_name_Hall '-C 2c 2'
_cell_length_a 3.927
_cell_length_b 13.515
_cell_length_c 14.522
_cell_angle_alpha 90.00
_cell_angle_beta 90.00
_cell_angle_gamma 90.00
loop_
_atom_site_label
_atom_site_fract_x
_atom_site_fract_y
_atom_site_fract_z
Er1 0.000 0.114 0.250
Th1 0.000 0.355 0.066
Se1 0.000 0.000 0.000
Se2 0.000 0.294 0.633
Se3 0.000 0.458 0.250
```

ΔE_f (raw) in eV per atom: -1.604